Below is an optimized crystal structure of TeAs2Cl, with properties calculated at the PBEsol level.

Cell lengths 6.893, 6.893, 6.893 Å; angles 90.00, 90.00, 90.00 degrees
Positions (direct):
Te: 0.000 0.000 0.000
Te: 0.000 0.500 0.500
Te: 0.500 0.000 0.500
Te: 0.500 0.500 0.000
As: 0.000 0.000 0.500
As: 0.000 0.500 0.000
As: 0.250 0.250 0.750
As: 0.250 0.750 0.250
As: 0.500 0.000 0.000
As: 0.500 0.500 0.500
As: 0.750 0.250 0.250
As: 0.750 0.750 0.750
Cl: 0.250 0.250 0.250
Cl: 0.250 0.750 0.750
Cl: 0.750 0.250 0.750
Cl: 0.750 0.750 0.250

Summary:
Crystal system: cubic
Total magnetization (μB/cell): 0.00
Calculated total energy (eV per atom): -3.647
Relative energy among the computed polymorphs (kJ/mol of formula units): 87

---

Below is an optimized crystal structure of CrIrPb, with properties calculated at the PBEsol level.

Cell lengths 6.220, 6.220, 6.220 Å; angles 90.00, 90.00, 90.00 degrees
Positions (direct):
Cr: 0.000 0.000 0.000
Cr: 0.000 0.500 0.500
Cr: 0.500 0.000 0.500
Cr: 0.500 0.500 0.000
Ir: 0.000 0.000 0.500
Ir: 0.000 0.500 0.000
Ir: 0.500 0.000 0.000
Ir: 0.500 0.500 0.500
Pb: 0.250 0.250 0.750
Pb: 0.250 0.750 0.250
Pb: 0.750 0.250 0.250
Pb: 0.750 0.750 0.750

Summary:
Crystal system: cubic
ΔE_f (kJ/mol of atoms): 91
Total magnetization (μB/cell): 15.69
Calculated total energy (eV per atom): -7.081